Entry from the Alexandria database: crystalline Sr2Pm4Sb3N2 at its relaxed geometry (PBE-GGA).

Structure (CIF):
```
data_Sr2Pm4Sb3N2
_cell_length_a 4.889
_cell_length_b 4.889
_cell_length_c 26.100
_cell_angle_alpha 90.00
_cell_angle_beta 90.00
_cell_angle_gamma 90.00
_symmetry_space_group_name_H-M 'I 4/m m m'
_symmetry_Int_Tables_number 139
_symmetry_space_group_name_Hall '-I 4 2'
loop_
_atom_site_label
_atom_site_type_symbol
_atom_site_fract_x
_atom_site_fract_y
_atom_site_fract_z
_atom_site_occupancy
Sr1 Sr 0.000 0.000 0.194 1
Pm1 Pm 0.000 0.500 0.083 1
Sb1 Sb 0.000 0.000 0.327 1
Sb2 Sb 0.000 0.000 0.500 1
N1 N 0.000 0.000 0.096 1
```

Results
* energy relative to the elements, uncorrected: -1.142 eV/atom
* ρ: 6.1 Mg/m³
* volume: 28.36 Å³ per atom

Entry from the Alexandria database: crystalline CeSmDy5Er2 at its relaxed geometry (PBE-GGA).

Structure (CIF):
```
data_CeSmDy5Er2
_cell_length_a 5.682
_cell_length_b 21.418
_cell_length_c 9.557
_cell_angle_alpha 90.00
_cell_angle_beta 90.00
_cell_angle_gamma 90.00
_symmetry_space_group_name_H-M 'C m c 21'
_symmetry_Int_Tables_number 36
_symmetry_space_group_name_Hall 'C 2c -2'
loop_
_atom_site_label
_atom_site_type_symbol
_atom_site_fract_x
_atom_site_fract_y
_atom_site_fract_z
_atom_site_occupancy
Ce1 Ce 0.000 0.193 0.000 1
Sm1 Sm 0.000 0.403 0.598 1
Dy1 Dy 0.000 0.013 0.009 1
Dy2 Dy 0.000 0.267 0.690 1
Dy3 Dy 0.000 0.306 0.308 1
Dy4 Dy 0.000 0.394 0.981 1
Dy5 Dy 0.000 0.471 0.276 1
Er1 Er 0.000 0.113 0.700 1
Er2 Er 0.000 0.135 0.317 1
```

Results
* ρ: 8.2 Mg/m³
* volume: 32.31 Å³ per atom
* energy of formation from the pure elements: 0.174 eV per atom

Entry from the Alexandria database: crystalline RbFeAs2Se at its relaxed geometry (PBE-GGA).

Structure (CIF):
```
data_RbFeAs2Se
_cell_length_a 5.581
_cell_length_b 5.581
_cell_length_c 5.715
_cell_angle_alpha 90.00
_cell_angle_beta 90.00
_cell_angle_gamma 90.00
_symmetry_space_group_name_H-M 'P 4/m m m'
_symmetry_Int_Tables_number 123
_symmetry_space_group_name_Hall '-P 4 2'
loop_
_atom_site_label
_atom_site_type_symbol
_atom_site_fract_x
_atom_site_fract_y
_atom_site_fract_z
_atom_site_occupancy
Rb1 Rb 0.000 0.000 0.000 1
Fe1 Fe 0.500 0.500 0.500 1
As1 As 0.000 0.500 0.000 1
Se1 Se 0.000 0.000 0.500 1
```

Results
* energy relative to the elements, uncorrected: 1.971 eV/atom
* ρ: 3.5 Mg/m³
* volume: 35.60 Å³ per atom
* offset from the most stable computed form: 1.9437 eV per atom